No. 1
VASP calculation (PBE-GGA) on a relaxed Tb3Ga3Ru2 crystal.

Calculated values
Magnetization = 0.000 μB/atom
VASP energy = -5.758 eV/atom
Volume = 20.91 Å³/atom
Energy relative to the elements = -0.5680 eV/atom

Cell: 7.586 15.294 5.768 Å, 90.00 90.00 90.00°
Space group Pnma (No. 62)
One atom of each set of equivalent atoms:
Tb (0.037, 0.108, 0.109) [8 per cell]
Tb (0.169, 0.250, 0.629) [4 per cell]
Ga (0.165, 0.036, 0.590) [8 per cell]
Ga (0.174, 0.750, 0.622) [4 per cell]
Ru (0.132, 0.609, 0.369) [8 per cell]

***

No. 2
VASP calculation (PBE-GGA) on a relaxed Ho2TcGe2 crystal.

Calculated values
Magnetization = 0.000 μB/atom
E above lowest polymorph = 178 meV/atom
VASP energy = -6.262 eV/atom
Volume = 22.93 Å³/atom
Energy relative to the elements = -0.5107 eV/atom

Cell: 6.287 11.988 6.084 Å, 90.00 90.00 90.00°
Space group Ibam (No. 72)
One atom of each set of equivalent atoms:
Ho (0.208, 0.146, 0.000) [8 per cell]
Tc (0.000, 0.500, 0.250) [4 per cell]
Ge (0.244, 0.395, 0.000) [8 per cell]